A plane-wave DFT calculation with GGA-PBE was carried out for an optimized crystal structure of AlCoNiIr2.

Cell and atoms, written as POSCAR:
```
AlCoNiIr2
1.0
-1.9614 -1.3744 -3.7252
3.7908 -0.5442 -1.7951
0.1040 -4.1713 1.4842
Ni Ir Co Al
1 2 1 1
Direct
0.5000 0.5000 0.5000
0.0000 0.0000 0.5000
0.5000 0.0000 0.0000
0.0000 0.0000 0.0000
0.0000 0.5000 0.0000
```

Results
Calculated formation energy, eV per atom: 1.04
Spin magnetization, μB/f.u.: 1.66
V, Å³/cell: 83.0
Crystal system: tetragonal
Space-group type: P4/mmm